# 1
Below is Na3Ca3ReO8 after structural relaxation, with properties calculated at the GGA-PBE level.

The space group is R-3m (No. 166, hexagonal axes) and the conventional cell measures 6.7530, 6.7530 and 16.6053 Å, with angles of 90.00, 90.00 and 120.00 degrees. Symmetry generates all atoms from Na at (0.0000, 0.5000, 0.0000), Ca at (0.0000, 0.5000, 0.5000), Re at (0.0000, 0.0000, 0.5000), O at (0.0000, 0.0000, 0.2384) and O at (0.0633, 0.5317, 0.2321).

The value obtained for the total magnetization is 0.00 μB per formula unit. The formation energy (no corrections) is -2208 meV per atom.

***

# 2
Below is Ce2TaSe8 after structural relaxation, with properties calculated at the GGA-PBE level.

The space group is C2/m (No. 12) and the conventional cell measures 16.3384, 3.9386 and 10.3036 Å, with angles of 90.00, 103.29 and 90.00 degrees. Symmetry generates all atoms from Ce at (0.1597, 0.0000, 0.3080), Ta at (0.0000, 0.5000, 0.5000), Se at (0.0202, 0.0000, 0.6780), Se at (0.0930, 0.5000, 0.1029), Se at (0.1596, 0.5000, 0.5243) and Se at (0.2424, 0.5000, 0.1738).

The value obtained for the density of states at the Fermi level is 14.433 states/eV/cell. The value obtained for the total magnetization is 0.86 μB per formula unit. The formation energy (no corrections) is -1089 meV per atom.

***

# 3
Below is Na3Sn4Pt4 after structural relaxation, with properties calculated at the GGA-PBE level.

The space group is Immm (No. 71) and the conventional cell measures 4.4817, 7.5288 and 14.2233 Å, with angles of 90.00, 90.00 and 90.00 degrees. Symmetry generates all atoms from Na at (0.0000, 0.0000, 0.0000), Na at (0.0000, 0.5000, 0.1266), Sn at (0.0000, 0.0000, 0.2235), Sn at (0.0000, 0.1926, 0.5000) and Pt at (0.0000, 0.3075, 0.3243).

The value obtained for the density of states at the Fermi level is 10.025 states/eV/cell. The value obtained for the total magnetization is 0.00 μB per formula unit. The energy relative to the elements comes out at -4.2 eV per formula unit.

***

# 4
Below is Al5ZnGa2 after structural relaxation, with properties calculated at the GGA-PBE level.

The space group is Cmcm (No. 63) and the conventional cell measures 3.9330, 14.4676 and 12.7159 Å, with angles of 90.00, 90.00 and 90.00 degrees. Symmetry generates all atoms from Al at (0.0000, 0.0429, 0.0957), Al at (0.0000, 0.2350, 0.7500), Al at (0.0000, 0.2453, 0.0812), Zn at (0.0000, 0.1462, 0.2500) and Ga at (0.0000, 0.1330, 0.5843).

The value obtained for the density of states at the Fermi level is 10.844 states/eV/cell. The value obtained for the total magnetization is 0.00 μB per formula unit. The distance to the lowest polymorph of the same formula is 189 meV per atom. The energy relative to the elements comes out at 2.2 eV per formula unit.